Record 1
{
  "formula": "PaZnOsO6",
  "functional": "PBE-GGA",
  "state": "relaxed",
  "lattice": [[5.438, 0.000, 0.000], [-2.719, 4.710, 0.000], [0.000, 0.000, 8.972]],
  "species": ["O", "O", "Os", "O", "Pa", "O", "Pa", "O", "Os", "Zn", "O", "O", "Zn", "O", "O", "O", "O", "O"],
  "fractional_positions": [[0.028, 0.356, 0.630], [0.328, 0.356, 0.870], [0.667, 0.333, 0.250], [0.644, 0.972, 0.870], [0.667, 0.333, 0.750], [0.356, 0.328, 0.370], [0.333, 0.667, 0.250], [0.672, 0.644, 0.130], [0.333, 0.667, 0.750], [0.000, 0.000, 0.000], [0.356, 0.028, 0.130], [0.328, 0.972, 0.630], [0.000, 0.000, 0.500], [0.672, 0.028, 0.370], [0.972, 0.644, 0.370], [0.972, 0.328, 0.130], [0.644, 0.672, 0.630], [0.028, 0.672, 0.870]],
  "energy_ev_per_cell": -138.1,
  "formation_energy_uncorrected_ev_per_fu": -17.32,
  "magnetic_moment_mub_per_atom": 0.324,
  "spacegroup": "P-31c"
}

---

Record 2
{
  "formula": "OsPbO4",
  "functional": "PBE-GGA",
  "state": "relaxed",
  "lattice": [[-3.655, -3.531, -0.132], [2.786, -2.739, -3.896], [2.033, -2.301, 5.259]],
  "species": ["O", "Os", "Os", "O", "O", "O", "O", "O", "Pb", "O", "O", "Pb"],
  "fractional_positions": [[0.381, 0.420, 0.697], [0.000, 0.000, 0.000], [0.500, 0.500, 0.000], [0.210, 0.311, 0.094], [0.881, 0.080, 0.303], [0.619, 0.580, 0.303], [0.290, 0.811, 0.094], [0.710, 0.189, 0.906], [0.500, 0.000, 0.500], [0.119, 0.920, 0.697], [0.790, 0.689, 0.906], [0.000, 0.500, 0.500]],
  "energy_ev_per_cell": -81.4,
  "formation_energy_uncorrected_ev_per_fu": -5.95,
  "magnetic_moment_mub_per_atom": 0.099,
  "spacegroup": "P2_1/c"
}